{"formula": "Tl3Hg2H8", "functional": "PBE", "state": "relaxed", "lattice_angstrom": [[3.747, 0.000, 0.000], [1.834, 7.518, 0.000], [1.812, 1.613, 7.380]], "species": ["Tl", "Tl", "Tl", "Hg", "Hg", "H", "H", "H", "H", "H", "H", "H", "H"], "frac_coords": [[0.000, 0.000, 0.000], [0.387, 0.830, 0.388], [0.613, 0.170, 0.612], [0.197, 0.415, 0.192], [0.803, 0.585, 0.808], [0.071, 0.625, 0.240], [0.179, 0.043, 0.602], [0.333, 0.218, 0.116], [0.352, 0.662, 0.626], [0.648, 0.338, 0.374], [0.667, 0.782, 0.884], [0.821, 0.957, 0.398], [0.929, 0.375, 0.760]], "final_energy_ev_per_atom": -2.27, "dos_at_fermi_per_ev_atom": 0.0735, "magmom_total_mub_per_fu": 0.00}